[1]
The following is a GGA-PBE calculation of a geometry-optimized Li2Tl2Au structure, from the Alexandria database.

## Properties
The value obtained for the density of states at the Fermi level is 3.37 states/eV per cell. Its volume is 20.93 Å³/atom. For the energy relative to the lowest polymorph listed for this composition, the calculation gives 0.0437 eV per atom. The calculation puts the energy of formation from the pure elements at -0.153 eV/atom. As for the crystal system: tetragonal.

Cell: 7.606 7.606 3.617 Å, 90.00 90.00 90.00°
Space group P4/mbm (No. 127)
Inequivalent atoms, fractional coordinates:
Li 0.157 0.343 0.000 (multiplicity 4)
Tl 0.146 0.646 0.500 (multiplicity 4)
Au 0.000 0.000 0.500 (multiplicity 2)

---

[2]
The following is a GGA-PBE calculation of a geometry-optimized Li5TlAu4 structure, from the Alexandria database.

## Properties
The value obtained for the density of states at the Fermi level is 2.03 states/eV per cell. Its volume is 16.29 Å³/atom. The calculation puts the energy of formation from the pure elements at -0.484 eV/atom. As for the crystal system: tetragonal.

Cell: 3.266 3.266 15.271 Å, 90.00 90.00 90.00°
Space group P4/mmm (No. 123)
Inequivalent atoms, fractional coordinates:
Li 0.000 0.000 0.000 (multiplicity 1)
Li 0.000 0.000 0.192 (multiplicity 2)
Li 0.000 0.000 0.379 (multiplicity 2)
Tl 0.500 0.500 0.500 (multiplicity 1)
Au 0.500 0.500 0.096 (multiplicity 2)
Au 0.500 0.500 0.289 (multiplicity 2)

---

[3]
The following is a GGA-PBE calculation of a geometry-optimized LiTl2Au structure, from the Alexandria database.

## Properties
The value obtained for the density of states at the Fermi level is 2.88 states/eV per cell. Its volume is 22.82 Å³/atom. The calculation puts the energy of formation from the pure elements at -0.088 eV/atom. As for the crystal system: monoclinic.

Cell: 6.378 7.888 3.650 Å, 90.00 96.24 90.00°
Space group C2/m (No. 12)
Inequivalent atoms, fractional coordinates:
Li 0.000 0.000 0.000 (multiplicity 2)
Tl 0.250 0.250 0.500 (multiplicity 4)
Au 0.000 0.500 0.000 (multiplicity 2)

---

[4]
The following is a GGA-PBE calculation of a geometry-optimized LiTlAu4 structure, from the Alexandria database.

## Properties
The value obtained for the density of states at the Fermi level is 17.05 states/eV per cell. Its volume is 20.86 Å³/atom. The calculation puts the energy of formation from the pure elements at -0.162 eV/atom. As for the crystal system: cubic.

Cell: 7.941 7.941 7.941 Å, 90.00 90.00 90.00°
Space group F-43m (No. 216)
Inequivalent atoms, fractional coordinates:
Li 0.000 0.000 0.000 (multiplicity 4)
Tl 0.250 0.250 0.750 (multiplicity 4)
Au 0.125 0.125 0.375 (multiplicity 16)

---

[5]
The following is a GGA-PBE calculation of a geometry-optimized LiTl3Au structure, from the Alexandria database.

## Properties
The value obtained for the density of states at the Fermi level is 3.34 states/eV per cell. Its volume is 34.56 Å³/atom. For the energy relative to the lowest polymorph listed for this composition, the calculation gives 0.0000 eV per atom. The calculation puts the energy of formation from the pure elements at 0.185 eV/atom. As for the crystal system: cubic.

Cell: 5.570 5.570 5.570 Å, 90.00 90.00 90.00°
Space group Pm-3m (No. 221)
Inequivalent atoms, fractional coordinates:
Li 0.000 0.000 0.000 (multiplicity 1)
Tl 0.000 0.500 0.500 (multiplicity 3)
Au 0.500 0.500 0.500 (multiplicity 1)

---

[6]
The following is a GGA-PBE calculation of a geometry-optimized Li2TlAu structure, from the Alexandria database.

## Properties
The value obtained for the density of states at the Fermi level is 1.77 states/eV per cell. Its volume is 18.79 Å³/atom. For the energy relative to the lowest polymorph listed for this composition, the calculation gives 0.1235 eV per atom. The calculation puts the energy of formation from the pure elements at -0.277 eV/atom. As for the crystal system: orthorhombic.

Cell: 3.326 3.683 6.136 Å, 90.00 90.00 90.00°
Space group Pmm2 (No. 25)
Inequivalent atoms, fractional coordinates:
Li 0.000 0.000 0.000 (multiplicity 1)
Li 0.500 0.500 0.261 (multiplicity 1)
Tl 0.000 0.000 0.516 (multiplicity 1)
Au 0.500 0.500 0.822 (multiplicity 1)

---

[7]
The following is a GGA-PBE calculation of a geometry-optimized Li4TlAu4 structure, from the Alexandria database.

## Properties
The value obtained for the density of states at the Fermi level is 4.57 states/eV per cell. Its volume is 17.87 Å³/atom. The calculation puts the energy of formation from the pure elements at -0.354 eV/atom. As for the crystal system: tetragonal.

Cell: 8.634 8.634 4.316 Å, 90.00 90.00 90.00°
Space group I4/mmm (No. 139)
Inequivalent atoms, fractional coordinates:
Li 0.000 0.317 0.000 (multiplicity 8)
Tl 0.000 0.000 0.000 (multiplicity 2)
Au 0.175 0.175 0.500 (multiplicity 8)

---

[8]
The following is a GGA-PBE calculation of a geometry-optimized LiTl2Au structure, from the Alexandria database.

## Properties
The value obtained for the density of states at the Fermi level is 6.88 states/eV per cell. Its volume is 25.19 Å³/atom. The calculation puts the energy of formation from the pure elements at -0.060 eV/atom. As for the crystal system: tetragonal.

Cell: 8.039 8.039 6.237 Å, 90.00 90.00 90.00°
Space group I-42d (No. 122)
Inequivalent atoms, fractional coordinates:
Li 0.000 0.000 0.000 (multiplicity 4)
Tl 0.240 0.250 0.625 (multiplicity 8)
Au 0.000 0.000 0.500 (multiplicity 4)

---

[9]
The following is a GGA-PBE calculation of a geometry-optimized Li6TlAu structure, from the Alexandria database.

## Properties
The value obtained for the density of states at the Fermi level is 22.25 states/eV per cell. Its volume is 17.38 Å³/atom. The calculation puts the energy of formation from the pure elements at -0.280 eV/atom. As for the crystal system: orthorhombic.

Cell: 8.022 11.780 11.770 Å, 90.00 90.00 90.00°
Space group Cmmm (No. 65)
Inequivalent atoms, fractional coordinates:
Li 0.000 0.000 0.000 (multiplicity 2)
Li 0.000 0.000 0.500 (multiplicity 2)
Li 0.000 0.248 0.239 (multiplicity 8)
Li 0.000 0.500 0.000 (multiplicity 2)
Li 0.000 0.500 0.500 (multiplicity 2)
Li 0.237 0.123 0.368 (multiplicity 16)
Li 0.237 0.129 0.118 (multiplicity 16)
Tl 0.000 0.255 0.500 (multiplicity 4)
Tl 0.000 0.500 0.246 (multiplicity 4)
Au 0.000 0.000 0.247 (multiplicity 4)
Au 0.000 0.257 0.000 (multiplicity 4)

---

[10]
The following is a GGA-PBE calculation of a geometry-optimized Li5Tl2Au2 structure, from the Alexandria database.

## Properties
The value obtained for the density of states at the Fermi level is 11.17 states/eV per cell. Its volume is 19.70 Å³/atom. The calculation puts the energy of formation from the pure elements at -0.308 eV/atom. As for the crystal system: orthorhombic.

Cell: 15.043 6.876 6.858 Å, 90.00 90.00 90.00°
Space group Cmce (No. 64)
Inequivalent atoms, fractional coordinates:
Li 0.000 0.000 0.000 (multiplicity 4)
Li 0.117 0.162 0.336 (multiplicity 16)
Tl 0.220 0.000 0.000 (multiplicity 8)
Au 0.000 0.144 0.641 (multiplicity 8)

---

[11]
The following is a GGA-PBE calculation of a geometry-optimized Li6TlAu5 structure, from the Alexandria database.

## Properties
The value obtained for the density of states at the Fermi level is 7.17 states/eV per cell. Its volume is 16.08 Å³/atom. The calculation puts the energy of formation from the pure elements at -0.485 eV/atom. As for the crystal system: monoclinic.

Cell: 14.281 6.088 4.606 Å, 90.00 105.54 90.00°
Space group C2/m (No. 12)
Inequivalent atoms, fractional coordinates:
Li 0.000 0.230 0.000 (multiplicity 4)
Li 0.175 0.240 0.663 (multiplicity 8)
Tl 0.000 0.500 0.500 (multiplicity 2)
Au 0.000 0.000 0.500 (multiplicity 2)
Au 0.161 0.500 0.143 (multiplicity 4)
Au 0.167 0.000 0.156 (multiplicity 4)

---

Please write out number 10 again, unchanged.
The following is a GGA-PBE calculation of a geometry-optimized Li5Tl2Au2 structure, from the Alexandria database.

## Properties
The value obtained for the density of states at the Fermi level is 11.17 states/eV per cell. Its volume is 19.70 Å³/atom. The calculation puts the energy of formation from the pure elements at -0.308 eV/atom. As for the crystal system: orthorhombic.

Cell: 15.043 6.876 6.858 Å, 90.00 90.00 90.00°
Space group Cmce (No. 64)
Inequivalent atoms, fractional coordinates:
Li 0.000 0.000 0.000 (multiplicity 4)
Li 0.117 0.162 0.336 (multiplicity 16)
Tl 0.220 0.000 0.000 (multiplicity 8)
Au 0.000 0.144 0.641 (multiplicity 8)

---

Q: The highest energy of formation from the pure elements belongs to which entry?
A: LiTl3Au

---

Please write out number 9 again, unchanged.
The following is a GGA-PBE calculation of a geometry-optimized Li6TlAu structure, from the Alexandria database.

## Properties
The value obtained for the density of states at the Fermi level is 22.25 states/eV per cell. Its volume is 17.38 Å³/atom. The calculation puts the energy of formation from the pure elements at -0.280 eV/atom. As for the crystal system: orthorhombic.

Cell: 8.022 11.780 11.770 Å, 90.00 90.00 90.00°
Space group Cmmm (No. 65)
Inequivalent atoms, fractional coordinates:
Li 0.000 0.000 0.000 (multiplicity 2)
Li 0.000 0.000 0.500 (multiplicity 2)
Li 0.000 0.248 0.239 (multiplicity 8)
Li 0.000 0.500 0.000 (multiplicity 2)
Li 0.000 0.500 0.500 (multiplicity 2)
Li 0.237 0.123 0.368 (multiplicity 16)
Li 0.237 0.129 0.118 (multiplicity 16)
Tl 0.000 0.255 0.500 (multiplicity 4)
Tl 0.000 0.500 0.246 (multiplicity 4)
Au 0.000 0.000 0.247 (multiplicity 4)
Au 0.000 0.257 0.000 (multiplicity 4)